## A
Compound: Mo2Ir2S
Source: Alexandria via LeMat-Bulk
Functional: PBE
Structure: relaxed

Output
The total magnetic moment comes out at 0.00 μB/f.u. Its mass density is 12.217 g/cm3.

abc: 7.745 7.745 2.757
angles: 90.00 90.00 90.00
Space group P4/mbm (No. 127)
Unique sites:
Mo 0.162 0.338 0.000 x4
Ir 0.129 0.629 0.500 x4
S 0.000 0.000 0.500 x2

## B
Compound: Mo2Ir2S
Source: Alexandria via LeMat-Bulk
Functional: PBE
Structure: relaxed

Output
The total magnetic moment comes out at 0.00 μB/f.u. Its mass density is 11.880 g/cm3.

abc: 3.603 3.603 13.098
angles: 90.00 90.00 90.00
Space group I4/mmm (No. 139)
Unique sites:
Mo 0.000 0.500 0.250 x4
Ir 0.000 0.000 0.101 x4
S 0.000 0.000 0.500 x2

Which structure loses on stability? B does.

## A
Compound: Sb2MoIr
Source: Alexandria via LeMat-Bulk
Functional: PBE
Structure: relaxed

Output
The total magnetic moment comes out at 0.00 μB/f.u. Its mass density is 10.297 g/cm3.

abc: 3.013 3.013 9.446
angles: 90.00 90.00 90.00
Space group P4mm (No. 99)
Unique sites:
Sb 0.000 0.000 0.000 x1
Sb 0.500 0.500 0.387 x1
Mo 0.500 0.500 0.781 x1
Ir 0.000 0.000 0.605 x1

## B
Compound: Sb2MoIr
Source: Alexandria via LeMat-Bulk
Functional: PBE
Structure: relaxed

Output
The total magnetic moment comes out at 0.00 μB/f.u. Its mass density is 11.732 g/cm3.

abc: 3.2207 3.2207 25.1314
angles: 90.00 90.00 120.00
Space group R-3m (No. 166, hexagonal axes)
Unique sites:
Sb 0.0000 0.0000 0.2495 x6
Mo 0.0000 0.0000 0.0000 x3
Ir 0.0000 0.0000 0.5000 x3

## C
Compound: Sb2MoIr
Source: Alexandria via LeMat-Bulk
Functional: PBE
Structure: relaxed

Output
The total magnetic moment comes out at 1.21 μB/f.u. Its mass density is 8.048 g/cm3.

abc: 6.138 6.138 11.648
angles: 90.00 90.00 90.00
Space group I-42d (No. 122)
Unique sites:
Sb 0.236 0.250 0.125 x8
Mo 0.000 0.000 0.500 x4
Ir 0.000 0.000 0.000 x4

## D
Compound: Sb2MoIr
Source: Alexandria via LeMat-Bulk
Functional: PBE
Structure: relaxed

Output
The total magnetic moment comes out at 0.00 μB/f.u. Its mass density is 11.760 g/cm3.

abc: 8.617 3.221 5.554
angles: 90.00 103.05 90.00
Space group C2/m (No. 12)
Unique sites:
Sb 0.250 0.000 0.244 x4
Mo 0.000 0.500 0.000 x2
Ir 0.000 0.000 0.500 x2

Which structure loses on stability? C does.

## A
Compound: Sb2MoIr
Source: Alexandria via LeMat-Bulk
Functional: PBE
Structure: relaxed

Output
The total magnetic moment comes out at 0.00 μB/f.u. Its mass density is 12.164 g/cm3.

abc: 4.621 4.621 3.398
angles: 90.00 90.00 90.00
Space group P4/mmm (No. 123)
Unique sites:
Sb 0.000 0.500 0.000 x2
Mo 0.000 0.000 0.500 x1
Ir 0.500 0.500 0.500 x1

## B
Compound: Sb2MoIr
Source: Alexandria via LeMat-Bulk
Functional: PBE
Structure: relaxed

Output
The total magnetic moment comes out at 0.00 μB/f.u. Its mass density is 12.044 g/cm3.

abc: 6.644 6.644 6.644
angles: 90.00 90.00 90.00
Space group Fm-3m (No. 225)
Unique sites:
Sb 0.250 0.250 0.250 x8
Mo 0.000 0.000 0.000 x4
Ir 0.000 0.000 0.500 x4

Which structure loses on stability? B does.

## A
Compound: Sb2MoIr
Source: Alexandria via LeMat-Bulk
Functional: PBE
Structure: relaxed

Output
The total magnetic moment comes out at 0.00 μB/f.u. Its mass density is 11.842 g/cm3.

abc: 9.728 3.421 4.612
angles: 90.00 103.69 90.00
Space group Cm (No. 8)
Unique sites:
Sb 0.000 0.000 0.000 x2
Sb 0.244 0.000 0.606 x2
Mo 0.231 0.500 0.095 x2
Ir 0.009 0.500 0.504 x2

## B
Compound: Sb2MoIr
Source: Alexandria via LeMat-Bulk
Functional: PBE
Structure: relaxed

Output
The total magnetic moment comes out at 0.87 μB/f.u. Its mass density is 11.701 g/cm3.

abc: 3.928 3.928 9.781
angles: 90.00 90.00 90.00
Space group I-4m2 (No. 119)
Unique sites:
Sb 0.000 0.000 0.000 x2
Sb 0.000 0.500 0.250 x2
Mo 0.000 0.000 0.500 x2
Ir 0.000 0.500 0.750 x2

## C
Compound: Sb2MoIr
Source: Alexandria via LeMat-Bulk
Functional: PBE
Structure: relaxed

Output
The total magnetic moment comes out at 1.25 μB/f.u. Its mass density is 11.341 g/cm3.

abc: 6.778 6.778 6.778
angles: 90.00 90.00 90.00
Space group F-43m (No. 216)
Unique sites:
Sb 0.000 0.000 0.000 x4
Sb 0.250 0.250 0.250 x4
Mo 0.000 0.000 0.500 x4
Ir 0.250 0.250 0.750 x4

## D
Compound: Sb2MoIr
Source: Alexandria via LeMat-Bulk
Functional: PBE
Structure: relaxed

Output
The total magnetic moment comes out at 0.00 μB/f.u. Its mass density is 9.914 g/cm3.

abc: 2.936 4.102 7.533
angles: 90.00 101.04 90.00
Space group Pm (No. 6)
Unique sites:
Sb 0.000 0.000 0.000 x1
Sb 0.293 0.500 0.602 x1
Mo 0.679 0.000 0.370 x1
Ir 0.114 0.500 0.235 x1

Which structure loses on stability? C does.

## A
Compound: Sb2MoIr
Source: Alexandria via LeMat-Bulk
Functional: PBE
Structure: relaxed

Output
The total magnetic moment comes out at 0.00 μB/f.u. Its mass density is 11.633 g/cm3.

abc: 3.074 4.295 5.748
angles: 90.00 90.00 90.00
Space group Pmm2 (No. 25)
Unique sites:
Sb 0.000 0.000 0.000 x1
Sb 0.500 0.500 0.361 x1
Mo 0.500 0.500 0.833 x1
Ir 0.000 0.000 0.530 x1

## B
Compound: Sb2MoIr
Source: Alexandria via LeMat-Bulk
Functional: PBE
Structure: relaxed

Output
The total magnetic moment comes out at 0.00 μB/f.u. Its mass density is 10.140 g/cm3.

abc: 3.0828 3.0828 31.7363
angles: 90.00 90.00 120.00
Space group R3m (No. 160, hexagonal axes)
Unique sites:
Sb 0.0000 0.0000 0.0000 x3
Sb 0.0000 0.0000 0.2050 x3
Mo 0.0000 0.0000 0.7378 x3
Ir 0.0000 0.0000 0.4698 x3

Which structure loses on stability? B does.

## A
Compound: SbMoIr3
Source: Alexandria via LeMat-Bulk
Functional: PBE
Structure: relaxed

Output
The total magnetic moment comes out at 0.16 μB/f.u. Its mass density is 12.215 g/cm3.

abc: 4.762 4.762 4.762
angles: 90.00 90.00 90.00
Space group Pm-3m (No. 221)
Unique sites:
Sb 0.000 0.000 0.000 x1
Mo 0.500 0.500 0.500 x1
Ir 0.000 0.000 0.500 x3

## B
Compound: SbMoIr3
Source: Alexandria via LeMat-Bulk
Functional: PBE
Structure: relaxed

Output
The total magnetic moment comes out at 0.00 μB/f.u. Its mass density is 12.245 g/cm3.

abc: 4.758 4.758 4.758
angles: 90.00 90.00 90.00
Space group Pm-3m (No. 221)
Unique sites:
Sb 0.000 0.000 0.000 x1
Mo 0.500 0.500 0.500 x1
Ir 0.000 0.500 0.500 x3

Which structure loses on stability? A does.